(1)
First-principles (PBE) data for an optimized crystal structure of GdMgGePd, as listed in OQMD via LeMat-Bulk.

Cell and atoms, written as POSCAR:
```
GdMgGePd
1.0
3.912 7.961 3.654
-7.703 -4.549 -3.466
-1.169 -1.555 4.639
Pd Mg Ge Gd
2 2 2 2
Direct
0.788 0.212 0.487
0.212 0.788 0.487
0.119 0.881 0.856
0.881 0.119 0.856
0.069 0.931 0.341
0.931 0.069 0.341
0.647 0.353 0.316
0.353 0.647 0.316
```

Computed properties:
Polymorph energy (0 for the lowest one) in eV/atom: 0.4776



(2)
First-principles (PBE) data for an optimized crystal structure of GdGeMo, as listed in OQMD via LeMat-Bulk.

Cell and atoms, written as POSCAR:
```
GdGeMo
1.0
4.166 -1.653 0.775
2.031 0.737 4.003
0.576 -3.435 2.925
Mo Ge Gd
1 1 1
Direct
0.750 0.750 0.750
0.000 0.000 0.000
0.250 0.250 0.250
```

Computed properties:
Polymorph energy (0 for the lowest one) in eV/atom: 0.0000



(3)
First-principles (PBE) data for an optimized crystal structure of NaGdGe, as listed in OQMD via LeMat-Bulk.

Cell and atoms, written as POSCAR:
```
NaGdGe
1.0
0.000 3.471 3.471
3.471 0.000 3.471
3.471 3.471 0.000
Na Ge Gd
1 1 1
Direct
0.750 0.750 0.750
0.000 0.000 0.000
0.250 0.250 0.250
```



(4)
First-principles (PBE) data for an optimized crystal structure of NaGdGeO4, as listed in OQMD via LeMat-Bulk.

Cell and atoms, written as POSCAR:
```
NaGdGeO4
1.0
11.499 0.000 0.000
0.000 6.480 0.000
0.000 0.000 5.281
O Na Ge Gd
16 4 4 4
Direct
0.828 0.542 0.288
0.108 0.250 0.230
0.454 0.250 0.817
0.328 0.542 0.212
0.672 0.042 0.788
0.328 0.958 0.212
0.546 0.750 0.183
0.172 0.042 0.712
0.392 0.750 0.730
0.172 0.458 0.712
0.892 0.750 0.770
0.608 0.250 0.270
0.672 0.458 0.788
0.954 0.250 0.683
0.046 0.750 0.317
0.828 0.958 0.288
0.000 0.000 0.000
0.500 0.000 0.500
0.500 0.500 0.500
0.000 0.500 0.000
0.096 0.250 0.558
0.404 0.750 0.058
0.596 0.250 0.942
0.904 0.750 0.442
0.222 0.750 0.498
0.278 0.250 0.998
0.778 0.250 0.502
0.722 0.750 0.002
```



(5)
First-principles (PBE) data for an optimized crystal structure of NaGd3GeS7, as listed in OQMD via LeMat-Bulk.

Cell and atoms, written as POSCAR:
```
NaGd3GeS7
1.0
-3.881 4.484 8.055
-2.762 -9.321 -2.352
4.364 -2.121 3.283
S Gd Na Ge
14 6 2 2
Direct
0.667 0.333 0.456
0.737 0.838 0.213
0.520 0.100 0.995
0.900 0.420 0.995
0.838 0.102 0.713
0.102 0.263 0.213
0.580 0.480 0.995
0.420 0.520 0.495
0.333 0.667 0.956
0.162 0.898 0.213
0.100 0.580 0.495
0.263 0.162 0.713
0.898 0.737 0.713
0.480 0.900 0.495
0.362 0.226 0.253
0.774 0.136 0.253
0.136 0.362 0.753
0.864 0.638 0.253
0.638 0.774 0.753
0.226 0.864 0.753
0.000 0.000 0.468
0.000 0.000 0.968
0.333 0.667 0.334
0.667 0.333 0.834
```



(6)
First-principles (PBE) data for an optimized crystal structure of Gd2Nb3Ge4, as listed in OQMD via LeMat-Bulk.

Cell and atoms, written as POSCAR:
```
Gd2Nb3Ge4
1.0
-4.771 2.869 -4.315
-9.288 -8.982 4.296
-1.991 4.563 5.235
Ge Gd Nb
16 8 12
Direct
0.328 0.958 0.539
0.672 0.042 0.461
0.828 0.958 0.961
0.305 0.250 0.635
0.195 0.750 0.135
0.672 0.458 0.461
0.539 0.250 0.123
0.172 0.042 0.039
0.172 0.458 0.039
0.328 0.542 0.539
0.961 0.750 0.623
0.461 0.750 0.877
0.828 0.542 0.961
0.805 0.250 0.865
0.695 0.750 0.365
0.039 0.250 0.377
0.002 0.405 0.673
0.998 0.905 0.327
0.502 0.405 0.827
0.498 0.905 0.173
0.502 0.095 0.827
0.002 0.095 0.673
0.498 0.595 0.173
0.998 0.595 0.327
0.340 0.127 0.328
0.660 0.627 0.672
0.164 0.250 0.012
0.664 0.250 0.488
0.160 0.873 0.828
0.836 0.750 0.988
0.340 0.373 0.328
0.160 0.627 0.828
0.660 0.873 0.672
0.840 0.127 0.172
0.840 0.373 0.172
0.336 0.750 0.512
```



| no. | total magnetic moment (μB/atom) | total energy (eV for the cell shown) |
| --- | --- | --- |
| 1 | 0.00 | -32.444 |
| 2 | 0.10 | -19.797 |
| 3 | 0.00 | -11.668 |
| 4 | 0.00 | -190.494 |
| 5 | 0.00 | -134.031 |
| 6 | 0.00 | -258.938 |